{
  "formula": "CaSi2W",
  "functional": "PBEsol",
  "state": "optimized geometry",
  "cell": [[3.853, 0.000, 0.000], [0.000, 3.853, 0.000], [0.000, 0.000, 8.933]],
  "species": ["Ca", "Ca", "Si", "Si", "Si", "Si", "W", "W"],
  "frac_coords": [[0.000, 0.000, 0.000], [0.500, 0.500, 0.500], [0.000, 0.000, 0.500], [0.000, 0.500, 0.250], [0.500, 0.000, 0.750], [0.500, 0.500, 0.000], [0.000, 0.500, 0.750], [0.500, 0.000, 0.250]],
  "spacegroup": "No. 119",
  "final_energy_ev_per_cell": -52.02
}

---

{
  "formula": "RbCu2I3",
  "functional": "PBEsol",
  "state": "optimized geometry",
  "cell": [[13.686, 0.000, 0.000], [0.000, 5.162, 0.000], [0.000, 0.000, 11.025]],
  "species": ["Rb", "Rb", "Rb", "Rb", "Cu", "Cu", "Cu", "Cu", "Cu", "Cu", "Cu", "Cu", "I", "I", "I", "I", "I", "I", "I", "I", "I", "I", "I", "I"],
  "frac_coords": [[0.177, 0.250, 0.025], [0.323, 0.750, 0.525], [0.677, 0.250, 0.475], [0.823, 0.750, 0.975], [0.023, 0.000, 0.340], [0.023, 0.500, 0.340], [0.477, 0.000, 0.840], [0.477, 0.500, 0.840], [0.523, 0.000, 0.160], [0.523, 0.500, 0.160], [0.977, 0.000, 0.660], [0.977, 0.500, 0.660], [0.071, 0.750, 0.826], [0.107, 0.250, 0.526], [0.171, 0.750, 0.252], [0.329, 0.250, 0.752], [0.393, 0.750, 0.026], [0.429, 0.250, 0.326], [0.571, 0.750, 0.674], [0.607, 0.250, 0.974], [0.671, 0.750, 0.248], [0.829, 0.250, 0.748], [0.893, 0.750, 0.474], [0.929, 0.250, 0.174]],
  "spacegroup": "No. 62",
  "final_energy_ev_per_cell": -73.80
}

---

{
  "formula": "GaRePdI2",
  "functional": "PBEsol",
  "state": "optimized geometry",
  "cell": [[5.488, 0.000, 0.000], [0.000, 5.488, 0.000], [0.000, 0.000, 4.762]],
  "species": ["Ga", "Re", "Pd", "I", "I"],
  "frac_coords": [[0.000, 0.000, 0.000], [0.500, 0.500, 0.000], [0.000, 0.000, 0.500], [0.000, 0.500, 0.500], [0.500, 0.000, 0.500]],
  "spacegroup": "No. 123",
  "final_energy_ev_per_cell": -19.77
}

---

{
  "formula": "SrMn",
  "functional": "PBEsol",
  "state": "optimized geometry",
  "cell": [[3.193, 0.000, 0.000], [0.000, 3.193, 0.000], [0.000, 0.000, 9.012]],
  "species": ["Sr", "Sr", "Mn", "Mn"],
  "frac_coords": [[0.250, 0.250, 0.203], [0.750, 0.750, 0.797], [0.250, 0.250, 0.526], [0.750, 0.750, 0.474]],
  "spacegroup": "No. 129",
  "delta_e_f_ev_per_atom": 0.70
}